VASP calculation (PBE-GGA) on crystalline TmReAg at its relaxed geometry. Values from VASP.

Quantum ESPRESSO input file:
```
&SYSTEM
  ibrav = 0, nat = 3, ntyp = 3
/
ATOMIC_SPECIES
Tm 168.93 Tm.upf
Re 186.21 Re.upf
Ag 107.87 Ag.upf
CELL_PARAMETERS angstrom
0.0000 3.2844 3.2844
3.2844 0.0000 3.2844
3.2844 3.2844 0.0000
ATOMIC_POSITIONS crystal
Tm 0.0000 0.0000 0.0000
Re 0.2500 0.2500 0.2500
Ag 0.7500 0.7500 0.7500
```



VASP calculation (PBE-GGA) on crystalline UReAg at its relaxed geometry. Values from VASP.

Summary:
ΔE to the lowest computed polymorph, meV per atom: 291

Quantum ESPRESSO input file:
```
&SYSTEM
  ibrav = 0, nat = 3, ntyp = 3
/
ATOMIC_SPECIES
U 238.03 U.upf
Re 186.21 Re.upf
Ag 107.87 Ag.upf
CELL_PARAMETERS angstrom
0.0000 3.2218 3.2218
3.2218 0.0000 3.2218
3.2218 3.2218 0.0000
ATOMIC_POSITIONS crystal
U 0.0000 0.0000 0.0000
Re 0.2500 0.2500 0.2500
Ag 0.7500 0.7500 0.7500
```



VASP calculation (PBE-GGA) on crystalline UReAg at its relaxed geometry. Values from VASP.

Summary:
ΔE to the lowest computed polymorph, meV per atom: 0

Quantum ESPRESSO input file:
```
&SYSTEM
  ibrav = 0, nat = 3, ntyp = 3
/
ATOMIC_SPECIES
U 238.03 U.upf
Re 186.21 Re.upf
Ag 107.87 Ag.upf
CELL_PARAMETERS angstrom
0.0000 3.2059 3.2059
3.2059 0.0000 3.2059
3.2059 3.2059 0.0000
ATOMIC_POSITIONS crystal
U 0.0000 0.0000 0.0000
Re 0.2500 0.2500 0.2500
Ag 0.5000 0.5000 0.5000
```



VASP calculation (PBE-GGA) on crystalline ReAgW2 at its relaxed geometry. Values from VASP.

Quantum ESPRESSO input file:
```
&SYSTEM
  ibrav = 0, nat = 4, ntyp = 3
/
ATOMIC_SPECIES
Re 186.21 Re.upf
Ag 107.87 Ag.upf
W 183.84 W.upf
CELL_PARAMETERS angstrom
0.0000 3.1800 3.1800
3.1800 0.0000 3.1800
3.1800 3.1800 0.0000
ATOMIC_POSITIONS crystal
Re 0.0000 0.0000 0.0000
Ag 0.2500 0.2500 0.2500
W 0.5000 0.5000 0.5000
W 0.7500 0.7500 0.7500
```



| no. | spin magnetization (μB per atom) | formation enthalpy at 0 K (eV per formula unit) |
| --- | --- | --- |
| 1 | 0.7209 | 4.0 |
| 2 | 0.0098 | 3.6 |
| 3 | 0.0664 | 2.7 |
| 4 | 0.0559 | 2.7 |